AlNiPb3 | PBE | optimized geometry

Lattice parameters (Å, degrees): 5.3679 5.3679 5.3679 90.00 90.00 90.00
With the nearest neighbours (Å) after each atom.
Positions (direct):
Pb  0.0000  0.5000  0.0000  2 Al 2.68
Pb  0.5000  0.0000  0.0000  2 Al 2.68
Pb  0.0000  0.0000  0.5000  2 Al 2.68
Ni  0.5000  0.5000  0.5000  12 Pb 3.80
Al  0.0000  0.0000  0.0000  6 Pb 2.68

Summary:
Relative energy among the computed polymorphs ... 576 meV per atom
Electronic total energy ... -16.17 eV per cell
Formation energy from the elements ... 4.48 eV per formula unit
D(E_F) ... 4.73 states/eV per cell